No. 1
The following is a PBE calculation of crystalline Y2CN2O2 at its relaxed geometry, from Alexandria via LeMat-Bulk.

Properties
N(E_F) ... 0.0 states/eV/f.u.
Formation energy (no corrections) ... -15.125 eV per formula unit

a = 3.7415 Å, b = 3.7415 Å, c = 16.4808 Å
α = 90.00°, β = 90.00°, γ = 120.00°
Space group P6_3/mmc (No. 194)
Asymmetric unit:
Y: 0.3333 0.6667 0.0888 x4
C: 0.0000 0.0000 0.2500 x2
N: 0.0000 0.0000 0.1750 x4
O: 0.3333 0.6667 0.5518 x4


No. 2
The following is a PBE calculation of crystalline Y4CN2O at its relaxed geometry, from Alexandria via LeMat-Bulk.

Properties
N(E_F) ... 1.1 states/eV/f.u.
Formation energy (no corrections) ... -13.699 eV per formula unit

a = 4.9363 Å, b = 4.9363 Å, c = 9.9332 Å
α = 90.00°, β = 90.00°, γ = 90.00°
Space group I4/mmm (No. 139)
Asymmetric unit:
Y: 0.0000 0.0000 0.2468 x4
Y: 0.0000 0.5000 0.0000 x4
C: 0.0000 0.0000 0.0000 x2
N: 0.0000 0.5000 0.2500 x4
O: 0.0000 0.0000 0.5000 x2


No. 3
The following is a PBE calculation of crystalline Y4CNO2 at its relaxed geometry, from Alexandria via LeMat-Bulk.

Properties
N(E_F) ... 1.9 states/eV/f.u.
Formation energy (no corrections) ... -16.253 eV per formula unit

a = 4.9353 Å, b = 4.9353 Å, c = 9.7958 Å
α = 90.00°, β = 90.00°, γ = 90.00°
Space group I4/mmm (No. 139)
Asymmetric unit:
Y: 0.0000 0.0000 0.2490 x4
Y: 0.0000 0.5000 0.0000 x4
C: 0.0000 0.0000 0.5000 x2
N: 0.0000 0.0000 0.0000 x2
O: 0.0000 0.5000 0.2500 x4


No. 4
The following is a PBE calculation of crystalline YCN2O at its relaxed geometry, from Alexandria via LeMat-Bulk.

Properties
N(E_F) ... 2.9 states/eV/f.u.
Formation energy (no corrections) ... 9.513 eV per formula unit

a = 4.6571 Å, b = 4.6571 Å, c = 4.3244 Å
α = 90.00°, β = 90.00°, γ = 90.00°
Space group P4/mmm (No. 123)
Asymmetric unit:
Y: 0.0000 0.0000 0.0000 x1
C: 0.5000 0.5000 0.5000 x1
N: 0.0000 0.5000 0.0000 x2
O: 0.0000 0.0000 0.5000 x1